[1]
! Ta2ZnPb PBE-GGA relaxed; values from VASP
&SYSTEM
  ibrav = 0, nat = 4, ntyp = 3
/
ATOMIC_SPECIES
Ta 180.95 Ta.upf
Zn 65.41 Zn.upf
Pb 207.20 Pb.upf
CELL_PARAMETERS angstrom
-1.553 0.770 5.005
0.827 -0.981 5.139
2.991 4.133 0.907
ATOMIC_POSITIONS crystal
Ta 0.006 0.006 0.981
Ta 0.748 0.748 0.754
Zn 0.492 0.492 0.511
Pb 0.254 0.254 0.254
! Magnetization   0.000 μB/atom

***

[2]
! Ta2ZnPb PBE-GGA relaxed; values from VASP
&SYSTEM
  ibrav = 0, nat = 4, ntyp = 3
/
ATOMIC_SPECIES
Ta 180.95 Ta.upf
Zn 65.41 Zn.upf
Pb 207.20 Pb.upf
CELL_PARAMETERS angstrom
-1.939 -3.321 3.653
-2.361 -0.405 -4.733
1.972 -2.041 -0.809
ATOMIC_POSITIONS crystal
Ta 0.000 0.000 0.000
Ta 0.500 0.500 0.000
Zn 0.500 0.000 0.500
Pb 0.000 0.500 0.500
! Magnetization   0.000 μB/atom

***

[3]
! TaZn2Pb PBE-GGA relaxed; values from VASP
&SYSTEM
  ibrav = 0, nat = 4, ntyp = 3
/
ATOMIC_SPECIES
Zn 65.41 Zn.upf
Ta 180.95 Ta.upf
Pb 207.20 Pb.upf
CELL_PARAMETERS angstrom
-0.995 -0.163 -5.364
-4.929 -1.722 -1.591
2.000 3.607 3.575
ATOMIC_POSITIONS crystal
Zn 0.500 0.500 0.000
Zn 0.000 0.000 0.000
Ta 0.750 0.250 0.500
Pb 0.250 0.750 0.500
! Magnetization   0.000 μB/atom

***

[4]
! TaZnPb2 PBE-GGA relaxed; values from VASP
&SYSTEM
  ibrav = 0, nat = 4, ntyp = 3
/
ATOMIC_SPECIES
Ta 180.95 Ta.upf
Pb 207.20 Pb.upf
Zn 65.41 Zn.upf
CELL_PARAMETERS angstrom
4.878 0.000 0.000
0.000 3.301 -0.007
0.000 1.655 5.558
ATOMIC_POSITIONS crystal
Ta 0.000 0.694 0.488
Pb 0.000 0.966 0.942
Pb 0.500 0.284 0.308
Zn 0.500 0.556 0.763
! Magnetization   0.000 μB/atom

***

[5]
! TaZn2Pb PBE-GGA relaxed; values from VASP
&SYSTEM
  ibrav = 0, nat = 8, ntyp = 3
/
ATOMIC_SPECIES
Zn 65.41 Zn.upf
Ta 180.95 Ta.upf
Pb 207.20 Pb.upf
CELL_PARAMETERS angstrom
-2.765 6.981 0.823
-4.884 -1.272 -5.621
-5.726 1.881 -0.526
ATOMIC_POSITIONS crystal
Zn 0.138 0.625 0.250
Zn 0.612 0.125 0.250
Zn 0.375 0.388 0.750
Zn 0.875 0.862 0.750
Ta 0.500 0.500 0.000
Ta 0.250 0.750 0.500
Pb 0.000 0.000 0.000
Pb 0.750 0.250 0.500
! Magnetization   0.000 μB/atom

***

[6]
! ZrTa2Pb PBE-GGA relaxed; values from VASP
&SYSTEM
  ibrav = 0, nat = 4, ntyp = 3
/
ATOMIC_SPECIES
Ta 180.95 Ta.upf
Zr 91.22 Zr.upf
Pb 207.20 Pb.upf
CELL_PARAMETERS angstrom
5.635 -0.001 0.000
2.570 5.015 0.000
-4.102 -2.507 2.939
ATOMIC_POSITIONS crystal
Ta 0.000 0.000 0.000
Ta 0.500 0.500 0.000
Zr 0.250 0.750 0.500
Pb 0.750 0.250 0.500
! Magnetization   0.000 μB/atom

***

[7]
! Zr2TaPb2 PBE-GGA relaxed; values from VASP
&SYSTEM
  ibrav = 0, nat = 10, ntyp = 3
/
ATOMIC_SPECIES
Pb 207.20 Pb.upf
Ta 180.95 Ta.upf
Zr 91.22 Zr.upf
CELL_PARAMETERS angstrom
-7.301 -2.085 -0.213
1.935 -6.408 -3.591
0.421 -1.831 3.493
ATOMIC_POSITIONS crystal
Pb 0.641 0.141 0.000
Pb 0.359 0.859 0.000
Pb 0.141 0.359 0.000
Pb 0.859 0.641 0.000
Ta 0.500 0.500 0.000
Ta 0.000 0.000 0.000
Zr 0.835 0.335 0.500
Zr 0.335 0.165 0.500
Zr 0.165 0.665 0.500
Zr 0.665 0.835 0.500
! Magnetization   0.000 μB/atom

***

[8]
! ZrTaPb2 PBE-GGA relaxed; values from VASP
&SYSTEM
  ibrav = 0, nat = 4, ntyp = 3
/
ATOMIC_SPECIES
Zr 91.22 Zr.upf
Pb 207.20 Pb.upf
Ta 180.95 Ta.upf
CELL_PARAMETERS angstrom
-2.938 1.258 -0.301
1.089 -0.718 -2.933
-3.746 -8.578 0.709
ATOMIC_POSITIONS crystal
Zr 0.500 0.500 0.750
Pb 0.000 0.000 0.007
Pb 0.000 0.000 0.493
Ta 0.500 0.500 0.250
! Distance to the lowest polymorph of the same formula   0.44 eV/f.u.
! Magnetization   0.000 μB/atom

***

[9]
! ZrTaPb2 PBE-GGA relaxed; values from VASP
&SYSTEM
  ibrav = 0, nat = 4, ntyp = 3
/
ATOMIC_SPECIES
Pb 207.20 Pb.upf
Ta 180.95 Ta.upf
Zr 91.22 Zr.upf
CELL_PARAMETERS angstrom
-2.446 1.678 0.992
-1.137 -2.121 -1.998
-1.491 -7.180 8.470
ATOMIC_POSITIONS crystal
Pb 0.500 0.500 0.300
Pb 0.000 0.000 0.959
Ta 0.000 0.000 0.524
Zr 0.500 0.500 0.717
! Distance to the lowest polymorph of the same formula   0.00 eV/f.u.
! Magnetization   0.000 μB/atom

***

[10]
! Zr4TaPb PBE-GGA relaxed; values from VASP
&SYSTEM
  ibrav = 0, nat = 6, ntyp = 3
/
ATOMIC_SPECIES
Zr 91.22 Zr.upf
Pb 207.20 Pb.upf
Ta 180.95 Ta.upf
CELL_PARAMETERS angstrom
0.000 4.074 4.074
4.074 0.000 4.074
4.074 4.074 0.000
ATOMIC_POSITIONS crystal
Zr 0.372 0.883 0.372
Zr 0.883 0.372 0.372
Zr 0.372 0.372 0.883
Zr 0.372 0.372 0.372
Pb 0.750 0.750 0.750
Ta 0.000 0.000 0.000
! Magnetization   0.000 μB/atom

***

[11]
! ZrTaPb2 PBE-GGA relaxed; values from VASP
&SYSTEM
  ibrav = 0, nat = 4, ntyp = 3
/
ATOMIC_SPECIES
Zr 91.22 Zr.upf
Pb 207.20 Pb.upf
Ta 180.95 Ta.upf
CELL_PARAMETERS angstrom
-4.298 1.538 -3.862
-5.804 0.849 -1.164
-0.938 5.223 0.811
ATOMIC_POSITIONS crystal
Zr 0.231 0.231 0.211
Pb 0.988 0.988 0.060
Pb 0.763 0.763 0.688
Ta 0.517 0.517 0.541
! Distance to the lowest polymorph of the same formula   0.40 eV/f.u.
! Magnetization   0.000 μB/atom

***

[12]
! Zr2TaPb PBE-GGA relaxed; values from VASP
&SYSTEM
  ibrav = 0, nat = 4, ntyp = 3
/
ATOMIC_SPECIES
Zr 91.22 Zr.upf
Ta 180.95 Ta.upf
Pb 207.20 Pb.upf
CELL_PARAMETERS angstrom
-0.367 -2.821 3.808
4.001 1.864 1.767
-2.045 2.689 1.795
ATOMIC_POSITIONS crystal
Zr 0.000 0.000 0.000
Zr 0.500 0.500 0.000
Ta 0.000 0.500 0.500
Pb 0.500 0.000 0.500
! Magnetization   0.000 μB/atom

***

[13]
! ZrTaPb2 PBE-GGA relaxed; values from VASP
&SYSTEM
  ibrav = 0, nat = 8, ntyp = 3
/
ATOMIC_SPECIES
Zr 91.22 Zr.upf
Ta 180.95 Ta.upf
Pb 207.20 Pb.upf
CELL_PARAMETERS angstrom
6.574 0.000 0.000
0.000 6.574 0.000
3.287 3.287 6.443
ATOMIC_POSITIONS crystal
Zr 0.250 0.750 0.500
Zr 0.500 0.500 0.000
Ta 0.000 0.000 0.000
Ta 0.750 0.250 0.500
Pb 0.375 0.356 0.750
Pb 0.106 0.625 0.250
Pb 0.875 0.894 0.750
Pb 0.644 0.125 0.250
! Distance to the lowest polymorph of the same formula   4.56 eV/f.u.
! Magnetization   0.000 μB/atom

***

[14]
! ZrTaPb2 PBE-GGA relaxed; values from VASP
&SYSTEM
  ibrav = 0, nat = 4, ntyp = 3
/
ATOMIC_SPECIES
Ta 180.95 Ta.upf
Zr 91.22 Zr.upf
Pb 207.20 Pb.upf
CELL_PARAMETERS angstrom
10.099 -0.018 -0.011
9.574 3.213 -0.011
9.574 1.555 2.812
ATOMIC_POSITIONS crystal
Ta 0.250 0.250 0.250
Zr 0.750 0.750 0.750
Pb 0.503 0.503 0.503
Pb 0.997 0.997 0.997
! Distance to the lowest polymorph of the same formula   0.59 eV/f.u.
! Magnetization   0.000 μB/atom

***

[15]
! Zr2TaPb PBE-GGA relaxed; values from VASP
&SYSTEM
  ibrav = 0, nat = 4, ntyp = 3
/
ATOMIC_SPECIES
Zr 91.22 Zr.upf
Pb 207.20 Pb.upf
Ta 180.95 Ta.upf
CELL_PARAMETERS angstrom
5.307 0.007 -0.005
4.356 3.032 -0.005
0.770 0.242 5.528
ATOMIC_POSITIONS crystal
Zr 0.503 0.503 0.505
Zr 0.997 0.997 0.995
Pb 0.250 0.250 0.250
Ta 0.750 0.750 0.750
! Magnetization   0.000 μB/atom

***

[16]
! Zr2TaPb PBE-GGA relaxed; values from VASP
&SYSTEM
  ibrav = 0, nat = 4, ntyp = 3
/
ATOMIC_SPECIES
Zr 91.22 Zr.upf
Pb 207.20 Pb.upf
Ta 180.95 Ta.upf
CELL_PARAMETERS angstrom
-0.957 0.282 2.994
2.771 -1.139 0.993
3.401 8.526 0.284
ATOMIC_POSITIONS crystal
Zr 0.000 0.000 0.991
Zr 0.500 0.500 0.240
Pb 0.000 0.000 0.510
Ta 0.500 0.500 0.759
! Magnetization   0.000 μB/atom

***

[17]
! ZrTaPb2 PBE-GGA relaxed; values from VASP
&SYSTEM
  ibrav = 0, nat = 4, ntyp = 3
/
ATOMIC_SPECIES
Pb 207.20 Pb.upf
Zr 91.22 Zr.upf
Ta 180.95 Ta.upf
CELL_PARAMETERS angstrom
-3.003 -0.175 -5.492
-2.812 -1.141 4.775
-1.857 2.623 0.195
ATOMIC_POSITIONS crystal
Pb 0.000 0.000 0.000
Pb 0.500 0.000 0.500
Zr 0.500 0.500 0.000
Ta 0.000 0.500 0.500
! Distance to the lowest polymorph of the same formula   0.44 eV/f.u.
! Magnetization   0.000 μB/atom

***

[18]
! ZrTaPb2 PBE-GGA relaxed; values from VASP
&SYSTEM
  ibrav = 0, nat = 4, ntyp = 3
/
ATOMIC_SPECIES
Zr 91.22 Zr.upf
Pb 207.20 Pb.upf
Ta 180.95 Ta.upf
CELL_PARAMETERS angstrom
5.255 0.000 0.000
0.993 5.160 0.000
-3.124 -2.580 3.346
ATOMIC_POSITIONS crystal
Zr 0.750 0.250 0.500
Pb 0.000 0.000 0.000
Pb 0.500 0.500 0.000
Ta 0.250 0.750 0.500
! Distance to the lowest polymorph of the same formula   0.71 eV/f.u.
! Magnetization   0.000 μB/atom

***

[19]
! Zr2TaPb PBE-GGA relaxed; values from VASP
&SYSTEM
  ibrav = 0, nat = 4, ntyp = 3
/
ATOMIC_SPECIES
Ta 180.95 Ta.upf
Zr 91.22 Zr.upf
Pb 207.20 Pb.upf
CELL_PARAMETERS angstrom
-1.169 -1.633 -2.440
-1.047 -1.535 2.556
-7.619 5.331 0.082
ATOMIC_POSITIONS crystal
Ta 0.500 0.500 0.750
Zr 0.000 0.000 0.517
Zr 0.000 0.000 0.983
Pb 0.500 0.500 0.250
! Magnetization   0.000 μB/atom

***

[20]
! ZrTaPb2 PBE-GGA relaxed; values from VASP
&SYSTEM
  ibrav = 0, nat = 4, ntyp = 3
/
ATOMIC_SPECIES
Zr 91.22 Zr.upf
Pb 207.20 Pb.upf
Ta 180.95 Ta.upf
CELL_PARAMETERS angstrom
4.708 0.000 0.000
0.000 3.210 0.031
0.000 1.068 6.096
ATOMIC_POSITIONS crystal
Zr 0.500 0.750 0.750
Pb 0.000 0.467 0.497
Pb 0.000 0.033 0.003
Ta 0.500 0.250 0.250
! Distance to the lowest polymorph of the same formula   0.39 eV/f.u.
! Magnetization   0.000 μB/atom

***

| no. | E_form (eV per atom) | V (Å³ per atom) |
| --- | --- | --- |
| 1 | 0.452 | 19.36 |
| 2 | 0.461 | 18.99 |
| 3 | 0.413 | 18.74 |
| 4 | 0.384 | 22.39 |
| 5 | 0.579 | 20.26 |
| 6 | 0.258 | 20.77 |
| 7 | 0.105 | 22.89 |
| 8 | 0.302 | 22.98 |
| 9 | 0.191 | 26.28 |
| 10 | 0.392 | 22.55 |
| 11 | 0.291 | 23.46 |
| 12 | -0.006 | 21.62 |
| 13 | 1.331 | 34.80 |
| 14 | 0.337 | 23.02 |
| 15 | 0.158 | 22.20 |
| 16 | 0.237 | 22.87 |
| 17 | 0.300 | 22.97 |
| 18 | 0.368 | 22.69 |
| 19 | 0.027 | 22.48 |
| 20 | 0.288 | 23.00 |